This record from the Alexandria database describes a geometry-optimized LiPtSe2 structure. The functional is PBE.

Results
E_form (uncorrected), kJ/mol of atoms: -12.0
Raw total energy, Ry per atom: -0.2834

The structure in POSCAR format:
```
LiPtSe2
1.0
3.213 0.000 0.000
0.000 3.213 0.000
0.000 0.000 6.934
Li Pt Se
1 1 2
Direct
0.000 0.000 0.000
0.000 0.000 0.500
0.500 0.500 0.263
0.500 0.500 0.737
```